(1)
Ac2Pm2Tl3 after structural relaxation. Source: Alexandria via LeMat-Bulk, functional PBE-GGA.

```
data_Ac2Pm2Tl3
_cell_length_a 3.915
_cell_length_b 8.280
_cell_length_c 7.987
_cell_angle_alpha 104.13
_cell_angle_beta 75.89
_cell_angle_gamma 90.07
_symmetry_space_group_name_H-M 'P 1'
_symmetry_Int_Tables_number 1
_symmetry_space_group_name_Hall 'P 1'
loop_
_atom_site_label
_atom_site_type_symbol
_atom_site_fract_x
_atom_site_fract_y
_atom_site_fract_z
_atom_site_occupancy
Ac1 Ac 0.705 0.813 0.590 1
Ac2 Ac 0.295 0.187 0.410 1
Pm1 Pm 0.566 0.265 0.869 1
Pm2 Pm 0.434 0.735 0.131 1
Tl1 Tl 0.000 0.000 0.000 1
Tl2 Tl 0.888 0.453 0.225 1
Tl3 Tl 0.112 0.547 0.775 1
```

Results
total energy: -26.471 eV for the cell shown
energy relative to the elements: -236.3 meV/atom
space group: No. 2
crystal system: triclinic
polymorph energy (0 for the lowest one): 0 meV/atom

=====

(2)
Ac3PmTl3 after structural relaxation. Source: Alexandria via LeMat-Bulk, functional PBE-GGA.

```
data_Ac3PmTl3
_cell_length_a 8.100
_cell_length_b 8.100
_cell_length_c 7.868
_cell_angle_alpha 90.00
_cell_angle_beta 90.00
_cell_angle_gamma 87.10
_symmetry_space_group_name_H-M 'P 1'
_symmetry_Int_Tables_number 1
_symmetry_space_group_name_Hall 'P 1'
loop_
_atom_site_label
_atom_site_type_symbol
_atom_site_fract_x
_atom_site_fract_y
_atom_site_fract_z
_atom_site_occupancy
Ac1 Ac 0.730 0.730 0.500 1
Ac2 Ac 0.238 0.762 0.500 1
Ac3 Ac 0.762 0.238 0.500 1
Ac4 Ac 0.300 0.700 0.000 1
Ac5 Ac 0.700 0.300 0.000 1
Ac6 Ac 0.270 0.270 0.500 1
Pm1 Pm 0.776 0.776 0.000 1
Pm2 Pm 0.224 0.224 0.000 1
Tl1 Tl 0.000 0.000 0.234 1
Tl2 Tl 0.000 0.500 0.767 1
Tl3 Tl 0.500 0.000 0.767 1
Tl4 Tl 0.000 0.500 0.233 1
Tl5 Tl 0.500 0.000 0.233 1
Tl6 Tl 0.000 0.000 0.766 1
```

Results
total energy: -51.513 eV for the cell shown
energy relative to the elements: -225.9 meV/atom
space group: No. 65
crystal system: orthorhombic

=====

(3)
Ac12PmTl7 after structural relaxation. Source: Alexandria via LeMat-Bulk, functional PBE-GGA.

```
data_Ac12PmTl7
_cell_length_a 10.250
_cell_length_b 10.250
_cell_length_c 10.250
_cell_angle_alpha 110.53
_cell_angle_beta 110.53
_cell_angle_gamma 110.53
_symmetry_space_group_name_H-M 'P 1'
_symmetry_Int_Tables_number 1
_symmetry_space_group_name_Hall 'P 1'
loop_
_atom_site_label
_atom_site_type_symbol
_atom_site_fract_x
_atom_site_fract_y
_atom_site_fract_z
_atom_site_occupancy
Ac1 Ac 0.000 0.266 0.734 1
Ac2 Ac 0.734 0.266 0.000 1
Ac3 Ac 0.485 0.164 0.485 1
Ac4 Ac 0.836 0.515 0.515 1
Ac5 Ac 0.266 0.000 0.734 1
Ac6 Ac 0.515 0.515 0.836 1
Ac7 Ac 0.485 0.485 0.164 1
Ac8 Ac 0.734 0.000 0.266 1
Ac9 Ac 0.164 0.485 0.485 1
Ac10 Ac 0.515 0.836 0.515 1
Ac11 Ac 0.266 0.734 0.000 1
Ac12 Ac 0.000 0.734 0.266 1
Pm1 Pm 0.000 0.000 0.000 1
Tl1 Tl 0.860 0.545 0.860 1
Tl2 Tl 0.455 0.140 0.140 1
Tl3 Tl 0.140 0.140 0.455 1
Tl4 Tl 0.500 0.500 0.500 1
Tl5 Tl 0.860 0.860 0.545 1
Tl6 Tl 0.545 0.860 0.860 1
Tl7 Tl 0.140 0.455 0.140 1
```

Results
total energy: -73.366 eV for the cell shown
energy relative to the elements: -137.5 meV/atom
space group: No. 166
crystal system: trigonal

=====

(4)
AcPmTm2Tl4 after structural relaxation. Source: Alexandria via LeMat-Bulk, functional PBE-GGA.

```
data_AcPmTm2Tl4
_cell_length_a 5.497
_cell_length_b 5.497
_cell_length_c 9.566
_cell_angle_alpha 73.30
_cell_angle_beta 73.30
_cell_angle_gamma 60.00
_symmetry_space_group_name_H-M 'P 1'
_symmetry_Int_Tables_number 1
_symmetry_space_group_name_Hall 'P 1'
loop_
_atom_site_label
_atom_site_type_symbol
_atom_site_fract_x
_atom_site_fract_y
_atom_site_fract_z
_atom_site_occupancy
Ac1 Ac 0.000 0.000 0.000 1
Pm1 Pm 0.500 0.500 0.500 1
Tm1 Tm 0.751 0.751 0.747 1
Tm2 Tm 0.249 0.249 0.253 1
Tl1 Tl 0.379 0.379 0.864 1
Tl2 Tl 0.872 0.872 0.383 1
Tl3 Tl 0.128 0.128 0.617 1
Tl4 Tl 0.621 0.621 0.136 1
```

Results
total energy: -29.715 eV for the cell shown
energy relative to the elements: -305.9 meV/atom
space group: No. 166
crystal system: trigonal

=====

(5)
AcPmYTl after structural relaxation. Source: Alexandria via LeMat-Bulk, functional PBE-GGA.

```
data_AcPmYTl
_cell_length_a 5.671
_cell_length_b 5.671
_cell_length_c 5.671
_cell_angle_alpha 60.00
_cell_angle_beta 60.00
_cell_angle_gamma 60.00
_symmetry_space_group_name_H-M 'P 1'
_symmetry_Int_Tables_number 1
_symmetry_space_group_name_Hall 'P 1'
loop_
_atom_site_label
_atom_site_type_symbol
_atom_site_fract_x
_atom_site_fract_y
_atom_site_fract_z
_atom_site_occupancy
Y1 Y 0.750 0.750 0.750 1
Ac1 Ac 0.500 0.500 0.500 1
Tl1 Tl 0.000 0.000 0.000 1
Pm1 Pm 0.250 0.250 0.250 1
```

Results
total energy: -17.637 eV for the cell shown
energy relative to the elements: 13.2 meV/atom
space group: No. 216
crystal system: cubic

=====

(6)
AcPm2Tl2Zn2 after structural relaxation. Source: Alexandria via LeMat-Bulk, functional PBE-GGA.

```
data_AcPm2Tl2Zn2
_cell_length_a 4.861
_cell_length_b 4.861
_cell_length_c 10.080
_cell_angle_alpha 76.05
_cell_angle_beta 76.05
_cell_angle_gamma 60.00
_symmetry_space_group_name_H-M 'P 1'
_symmetry_Int_Tables_number 1
_symmetry_space_group_name_Hall 'P 1'
loop_
_atom_site_label
_atom_site_type_symbol
_atom_site_fract_x
_atom_site_fract_y
_atom_site_fract_z
_atom_site_occupancy
Ac1 Ac 0.000 0.000 0.000 1
Pm1 Pm 0.132 0.132 0.604 1
Pm2 Pm 0.868 0.868 0.396 1
Tl1 Tl 0.739 0.739 0.783 1
Tl2 Tl 0.261 0.261 0.217 1
Zn1 Zn 0.576 0.576 0.273 1
Zn2 Zn 0.424 0.424 0.727 1
```

Results
total energy: -22.344 eV for the cell shown
energy relative to the elements: -207.7 meV/atom
space group: No. 166
crystal system: trigonal